Model P:
VCrMo2: optimized geometry, GGA-PBE. Values from VASP.

The structure in Quantum ESPRESSO input format:
```
&SYSTEM
  ibrav = 0, nat = 8, ntyp = 3
/
ATOMIC_SPECIES
V 50.94 V.upf
Mo 95.94 Mo.upf
Cr 52.00 Cr.upf
CELL_PARAMETERS angstrom
-4.0264 -5.0491 2.1284
3.5448 -0.3862 5.7897
-1.8547 -0.9648 5.0641
ATOMIC_POSITIONS crystal
V 0.2500 0.7500 0.5000
V 0.5000 0.5000 0.0000
Mo 0.3750 0.3617 0.7500
Mo 0.8750 0.8883 0.7500
Mo 0.1117 0.6250 0.2500
Mo 0.6383 0.1250 0.2500
Cr 0.0000 0.0000 0.0000
Cr 0.7500 0.2500 0.5000
```

Results
space-group type	No. 122
V	15.18	Å³/atom
size of the total moment	0.00	μB/f.u.

Model Q:
VCrMo2: optimized geometry, GGA-PBE. Values from VASP.

The structure in Quantum ESPRESSO input format:
```
&SYSTEM
  ibrav = 0, nat = 4, ntyp = 3
/
ATOMIC_SPECIES
Mo 95.94 Mo.upf
Cr 52.00 Cr.upf
V 50.94 V.upf
CELL_PARAMETERS angstrom
-1.9752 -0.6743 2.2135
2.0352 -3.7413 0.6763
2.5722 1.9198 2.8800
ATOMIC_POSITIONS crystal
Mo 0.0000 0.5000 0.0000
Mo 0.0000 0.0000 0.5000
Cr 0.5000 0.5000 0.5000
V 0.5000 0.0000 0.0000
```

Results
space-group type	No. 123
V	14.14	Å³/atom
size of the total moment	0.00	μB/f.u.

Going by the computed energies, the most stable comes first: model Q, model P.

Model P:
VCrMo3: optimized geometry, GGA-PBE. Values from VASP.

The structure in Quantum ESPRESSO input format:
```
&SYSTEM
  ibrav = 0, nat = 10, ntyp = 3
/
ATOMIC_SPECIES
Mo 95.94 Mo.upf
V 50.94 V.upf
Cr 52.00 Cr.upf
CELL_PARAMETERS angstrom
5.3672 -0.0043 0.0037
2.6800 4.6502 0.0038
2.6867 1.5511 6.1298
ATOMIC_POSITIONS crystal
Mo 0.7515 0.7515 0.2437
Mo 0.7468 0.2484 0.7563
Mo 0.2485 0.2485 0.7563
Mo 0.2484 0.7468 0.7563
Mo 0.7516 0.2532 0.2437
Mo 0.2532 0.7516 0.2437
V 0.1892 0.1892 0.4325
V 0.8108 0.8108 0.5675
Cr 0.3095 0.3095 0.0711
Cr 0.6905 0.6905 0.9289
```

Results
space-group type	No. 12
V	15.30	Å³/atom
size of the total moment	0.00	μB/f.u.

Model Q:
VCrMo3: optimized geometry, GGA-PBE. Values from VASP.

The structure in Quantum ESPRESSO input format:
```
&SYSTEM
  ibrav = 0, nat = 10, ntyp = 3
/
ATOMIC_SPECIES
Mo 95.94 Mo.upf
Cr 52.00 Cr.upf
V 50.94 V.upf
CELL_PARAMETERS angstrom
-3.4147 1.2288 -3.3335
-1.6737 -2.6014 3.8359
1.5506 6.6834 3.1940
ATOMIC_POSITIONS crystal
Mo 0.7629 0.4327 0.2216
Mo 0.5673 0.2371 0.7784
Mo 0.2371 0.5673 0.7784
Mo 0.4327 0.7629 0.2216
Mo 0.1862 0.1862 0.3845
Mo 0.8138 0.8138 0.6155
Cr 0.7600 0.2400 0.5000
Cr 0.2400 0.7600 0.5000
V 0.2104 0.2104 0.9784
V 0.7896 0.7896 0.0216
```

Results
space-group type	No. 12
V	15.36	Å³/atom
size of the total moment	0.00	μB/f.u.

Going by the computed energies, the most stable comes first: model Q, model P.

Model P:
V8CrMo2: optimized geometry, GGA-PBE. Values from VASP.

The structure in Quantum ESPRESSO input format:
```
&SYSTEM
  ibrav = 0, nat = 11, ntyp = 3
/
ATOMIC_SPECIES
V 50.94 V.upf
Mo 95.94 Mo.upf
Cr 52.00 Cr.upf
CELL_PARAMETERS angstrom
4.1554 0.0000 -1.1967
-0.9357 6.0521 -3.2491
-0.2805 -0.9182 6.8391
ATOMIC_POSITIONS crystal
V 0.1963 0.0967 0.3926
V 0.0485 0.2377 0.0970
V 0.4371 0.2627 0.8742
V 0.3159 0.5588 0.6318
V 0.5629 0.7373 0.1258
V 0.9515 0.7623 0.9030
V 0.8037 0.9033 0.6074
V 0.6841 0.4412 0.3682
Mo 0.1487 0.6854 0.2975
Mo 0.8513 0.3146 0.7025
Cr 0.5000 0.0000 0.0000
```

Results
space-group type	No. 12
V	14.23	Å³/atom
size of the total moment	0.00	μB/f.u.

Model Q:
V8CrMo2: optimized geometry, GGA-PBE. Values from VASP.

The structure in Quantum ESPRESSO input format:
```
&SYSTEM
  ibrav = 0, nat = 11, ntyp = 3
/
ATOMIC_SPECIES
V 50.94 V.upf
Cr 52.00 Cr.upf
Mo 95.94 Mo.upf
CELL_PARAMETERS angstrom
-2.5454 3.7067 -1.3617
-0.0965 -2.5352 -6.7109
-3.8963 -4.2483 -4.2712
ATOMIC_POSITIONS crystal
V 0.0000 0.0853 0.5941
V 0.0000 0.4059 0.9147
V 0.2540 0.5000 0.5000
V 0.0000 0.5941 0.0853
V 0.5001 0.9067 0.9067
V 0.7460 0.5000 0.5000
V 0.4999 0.0933 0.0933
V 0.0000 0.9147 0.4059
Cr 0.0000 0.0000 0.0000
Mo 0.5000 0.3016 0.3016
Mo 0.5000 0.6984 0.6984
```

Results
space-group type	No. 65
V	13.94	Å³/atom
size of the total moment	0.00	μB/f.u.

Going by the computed energies, the most stable comes first: model Q, model P.

Model P:
V4Cr2Mo3: optimized geometry, GGA-PBE. Values from VASP.

The structure in Quantum ESPRESSO input format:
```
&SYSTEM
  ibrav = 0, nat = 18, ntyp = 3
/
ATOMIC_SPECIES
V 50.94 V.upf
Mo 95.94 Mo.upf
Cr 52.00 Cr.upf
CELL_PARAMETERS angstrom
-3.9413 2.5858 0.8106
0.7409 -0.1846 7.3173
3.6561 6.3526 0.6372
ATOMIC_POSITIONS crystal
V 0.9332 0.8426 0.5003
V 0.4713 0.8380 0.3143
V 0.5287 0.1620 0.6857
V 0.9713 0.3143 0.8380
V 0.0287 0.6857 0.1620
V 0.0668 0.1574 0.4997
V 0.5668 0.4997 0.1574
V 0.4332 0.5003 0.8426
Mo 0.4926 0.8279 0.9716
Mo 0.7500 0.4991 0.5009
Mo 0.9926 0.9716 0.8279
Mo 0.5074 0.1721 0.0284
Mo 0.0074 0.0284 0.1721
Mo 0.2500 0.5009 0.4991
Cr 0.5511 0.1777 0.3659
Cr 0.4489 0.8223 0.6341
Cr 0.0511 0.3658 0.1777
Cr 0.9489 0.6342 0.8223
```

Results
space-group type	No. 15
V	14.22	Å³/atom
size of the total moment	0.00	μB/f.u.

Model Q:
V4Cr2Mo3: optimized geometry, GGA-PBE. Values from VASP.

The structure in Quantum ESPRESSO input format:
```
&SYSTEM
  ibrav = 0, nat = 9, ntyp = 3
/
ATOMIC_SPECIES
Mo 95.94 Mo.upf
V 50.94 V.upf
Cr 52.00 Cr.upf
CELL_PARAMETERS angstrom
4.2506 0.0010 -0.0017
2.1248 4.5134 0.4653
2.1218 2.4596 6.7289
ATOMIC_POSITIONS crystal
Mo 0.4402 0.7833 0.3375
Mo 0.0000 0.0000 0.0000
Mo 0.5598 0.2167 0.6625
V 0.6682 0.6600 0.0049
V 0.3318 0.3400 0.9951
V 0.8860 0.5617 0.6669
V 0.1140 0.4383 0.3331
Cr 0.7769 0.1125 0.3329
Cr 0.2231 0.8875 0.6671
```

Results
space-group type	No. 12
V	13.80	Å³/atom
size of the total moment	0.00	μB/f.u.

Going by the computed energies, the most stable comes first: model Q, model P.

Model P:
V6CrMo2: optimized geometry, GGA-PBE. Values from VASP.

The structure in Quantum ESPRESSO input format:
```
&SYSTEM
  ibrav = 0, nat = 18, ntyp = 3
/
ATOMIC_SPECIES
V 50.94 V.upf
Mo 95.94 Mo.upf
Cr 52.00 Cr.upf
CELL_PARAMETERS angstrom
-0.7302 -1.9730 -4.3217
5.7813 -3.7348 5.2962
-6.6459 0.2302 5.5858
ATOMIC_POSITIONS crystal
V 0.4171 0.5844 0.0843
V 0.1579 0.1737 0.9880
V 0.3421 0.3263 0.5120
V 0.9171 0.0843 0.5844
V 0.5829 0.4156 0.9157
V 0.8421 0.5120 0.3263
V 0.0829 0.9157 0.4156
V 0.3421 0.0120 0.8263
V 0.6579 0.9880 0.1737
V 0.6579 0.6737 0.4880
V 0.8421 0.8263 0.0120
V 0.1579 0.4880 0.6737
Mo 0.5000 0.1659 0.3341
Mo 0.0000 0.3341 0.1659
Mo 0.5000 0.8341 0.6659
Mo 0.0000 0.6659 0.8341
Cr 0.7500 0.2500 0.7500
Cr 0.2500 0.7500 0.2500
```

Results
space-group type	No. 12
V	13.93	Å³/atom
size of the total moment	0.00	μB/f.u.

Model Q:
V6CrMo2: optimized geometry, GGA-PBE. Values from VASP.

The structure in Quantum ESPRESSO input format:
```
&SYSTEM
  ibrav = 0, nat = 9, ntyp = 3
/
ATOMIC_SPECIES
V 50.94 V.upf
Cr 52.00 Cr.upf
Mo 95.94 Mo.upf
CELL_PARAMETERS angstrom
5.9763 0.4870 0.2818
0.5880 4.9923 -0.0066
0.5880 2.4816 4.3319
ATOMIC_POSITIONS crystal
V 0.5793 0.2396 0.2396
V 0.2964 0.7790 0.2880
V 0.2964 0.2880 0.7790
V 0.7036 0.2210 0.7120
V 0.4207 0.7604 0.7604
V 0.7036 0.7120 0.2210
Cr 0.0000 0.0000 0.0000
Mo 0.9137 0.6859 0.6859
Mo 0.0863 0.3141 0.3141
```

Results
space-group type	No. 12
V	14.19	Å³/atom
size of the total moment	0.00	μB/f.u.

Going by the computed energies, the most stable comes first: model P, model Q.

Model P:
V4CrMo: optimized geometry, GGA-PBE. Values from VASP.

The structure in Quantum ESPRESSO input format:
```
&SYSTEM
  ibrav = 0, nat = 6, ntyp = 3
/
ATOMIC_SPECIES
V 50.94 V.upf
Mo 95.94 Mo.upf
Cr 52.00 Cr.upf
CELL_PARAMETERS angstrom
4.0369 0.0000 0.0000
-0.0002 4.0419 -0.0004
0.0047 0.0063 5.8581
ATOMIC_POSITIONS crystal
V 0.0014 0.4975 0.7331
V 0.5012 0.9971 0.2632
V 0.0012 0.4970 0.2632
V 0.5014 0.9975 0.7331
Mo 0.5013 0.4973 0.9981
Cr 0.0013 0.9973 0.4981
```

Results
space-group type	No. 123
V	15.93	Å³/atom
size of the total moment	0.00	μB/f.u.

Model Q:
V4CrMo: optimized geometry, GGA-PBE. Values from VASP.

The structure in Quantum ESPRESSO input format:
```
&SYSTEM
  ibrav = 0, nat = 6, ntyp = 3
/
ATOMIC_SPECIES
V 50.94 V.upf
Cr 52.00 Cr.upf
Mo 95.94 Mo.upf
CELL_PARAMETERS angstrom
4.8950 0.0000 0.0000
2.4475 4.2392 0.0000
2.4475 1.4131 3.9967
ATOMIC_POSITIONS crystal
V 0.6249 0.6249 0.1252
V 0.1252 0.6249 0.6249
V 0.6249 0.6249 0.6249
V 0.6249 0.1252 0.6249
Cr 0.2500 0.2500 0.2500
Mo 0.0000 0.0000 0.0000
```

Results
space-group type	No. 216
V	13.82	Å³/atom
size of the total moment	0.17	μB/f.u.

Going by the computed energies, the most stable comes first: model Q, model P.

Model P:
V2CrMo6: optimized geometry, GGA-PBE. Values from VASP.

The structure in Quantum ESPRESSO input format:
```
&SYSTEM
  ibrav = 0, nat = 18, ntyp = 3
/
ATOMIC_SPECIES
Cr 52.00 Cr.upf
Mo 95.94 Mo.upf
V 50.94 V.upf
CELL_PARAMETERS angstrom
5.0589 0.0000 0.4400
0.0000 6.5039 0.0000
-0.0474 0.0000 8.4895
ATOMIC_POSITIONS crystal
Cr 0.0000 0.0000 0.5000
Cr 0.5000 0.5000 0.0000
Mo 0.6015 0.1494 0.9274
Mo 0.0532 0.2890 0.0417
Mo 0.8246 0.9832 0.2411
Mo 0.3985 0.8506 0.0726
Mo 0.4468 0.7890 0.4583
Mo 0.1754 0.0168 0.7589
Mo 0.6754 0.4832 0.2589
Mo 0.5532 0.2110 0.5417
Mo 0.8985 0.6494 0.5726
Mo 0.9468 0.7110 0.9583
Mo 0.1015 0.3506 0.4274
Mo 0.3246 0.5168 0.7411
V 0.1305 0.6618 0.2572
V 0.8695 0.3382 0.7428
V 0.3695 0.1618 0.2428
V 0.6305 0.8382 0.7572
```

Results
space-group type	No. 14
V	15.53	Å³/atom
size of the total moment	0.00	μB/f.u.

Model Q:
V2CrMo6: optimized geometry, GGA-PBE. Values from VASP.

The structure in Quantum ESPRESSO input format:
```
&SYSTEM
  ibrav = 0, nat = 9, ntyp = 3
/
ATOMIC_SPECIES
Mo 95.94 Mo.upf
Cr 52.00 Cr.upf
V 50.94 V.upf
CELL_PARAMETERS angstrom
-2.0118 0.0881 -3.8979
-4.3340 -0.6355 -0.2469
-1.2026 7.8937 0.7995
ATOMIC_POSITIONS crystal
Mo 0.6667 0.6667 0.3904
Mo 0.6667 0.6667 0.7241
Mo 0.3333 0.3333 0.2759
Mo 0.0000 0.0000 0.1659
Mo 0.3333 0.3333 0.6096
Mo 0.0000 0.0000 0.8341
Cr 0.0000 0.0000 0.5000
V 0.6667 0.6667 0.0551
V 0.3333 0.3333 0.9449
```

Results
space-group type	No. 164
V	14.86	Å³/atom
size of the total moment	0.00	μB/f.u.

Going by the computed energies, the most stable comes first: model Q, model P.

Model P:
CrMoW: optimized geometry, GGA-PBE. Values from VASP.

The structure in Quantum ESPRESSO input format:
```
&SYSTEM
  ibrav = 0, nat = 6, ntyp = 3
/
ATOMIC_SPECIES
Mo 95.94 Mo.upf
W 183.84 W.upf
Cr 52.00 Cr.upf
CELL_PARAMETERS angstrom
-1.5386 2.6764 0.1299
-2.6795 -1.5362 -0.0850
-0.0271 -0.4621 9.2016
ATOMIC_POSITIONS crystal
Mo 0.5000 0.0000 0.4134
Mo 0.0000 0.5000 0.5866
W 0.5000 0.0000 0.7644
W 0.0000 0.5000 0.2356
Cr 0.0000 0.5000 0.9227
Cr 0.5000 0.0000 0.0773
```

Results
space-group type	No. 129
V	14.66	Å³/atom
size of the total moment	0.00	μB/f.u.

Model Q:
CrMoW: optimized geometry, GGA-PBE. Values from VASP.

The structure in Quantum ESPRESSO input format:
```
&SYSTEM
  ibrav = 0, nat = 3, ntyp = 3
/
ATOMIC_SPECIES
Mo 95.94 Mo.upf
Cr 52.00 Cr.upf
W 183.84 W.upf
CELL_PARAMETERS angstrom
4.1364 0.0000 0.0000
2.0682 3.5822 0.0000
2.0682 1.1941 3.3774
ATOMIC_POSITIONS crystal
Mo 0.0000 0.0000 0.0000
Cr 0.7500 0.7500 0.7500
W 0.5000 0.5000 0.5000
```

Results
space-group type	No. 216
V	16.68	Å³/atom
size of the total moment	0.00	μB/f.u.

Going by the computed energies, the most stable comes first: model P, model Q.